This record from the Alexandria database describes an optimized crystal structure of Sc3Nb. The functional is GGA-PBE.

The space group is Pmm2 (No. 25) and the conventional cell measures 3.1473, 5.0072 and 5.6178 Å, with angles of 90.00, 90.00 and 90.00 degrees. Symmetry generates all atoms from Sc at (0.0000, 0.0000, 0.0000), Sc at (0.0000, 0.5000, 0.3211), Sc at (0.5000, 0.5000, 0.7999) and Nb at (0.5000, 0.0000, 0.4901).

The calculated total energy comes out at -28.735 eV/cell. Its formation energy is 0.08 eV/atom. The magnetic moment comes out at 0.0 Bohr magnetons per cell.